(1)
## TePtW2 (PBE)

Data for crystalline TePtW2 at its relaxed geometry.

## Properties
uncorrected formation energy = 0.345 eV/atom
magnetic moment = 0.000 μB/cell
crystal system = tetragonal

Geometry as extended XYZ:
```
4
Lattice="3.2487 0.0000 0.0000 0.0000 3.2487 0.0000 0.0000 0.0000 6.9520" Properties=species:S:1:pos:R:3 pbc="T T T"
Te 0.0000 0.0000 0.0000
Pt 1.6243 1.6243 4.8384
W 0.0000 0.0000 3.2995
W 1.6243 1.6243 1.8590
```

---

(2)
## YTePt3 (PBE)

Data for crystalline YTePt3 at its relaxed geometry.

## Properties
uncorrected formation energy = -0.029 eV/atom
offset from the most stable computed form = 0.0 meV/atom
magnetic moment = 0.000 μB/cell
crystal system = cubic

Geometry as extended XYZ:
```
5
Lattice="4.9578 0.0000 0.0000 0.0000 4.9578 0.0000 0.0000 0.0000 4.9578" Properties=species:S:1:pos:R:3 pbc="T T T"
Y 0.0000 0.0000 0.0000
Te 2.4789 2.4789 2.4789
Pt 0.0000 2.4789 2.4789
Pt 2.4789 0.0000 2.4789
Pt 2.4789 2.4789 0.0000
```

---

(3)
## Y4TePt (PBE)

Data for crystalline Y4TePt at its relaxed geometry.

## Properties
uncorrected formation energy = 0.176 eV/atom
offset from the most stable computed form = 1095.2 meV/atom
magnetic moment = 0.000 μB/cell
crystal system = cubic

Geometry as extended XYZ:
```
6
Lattice="0.0000 4.3431 4.3431 4.3431 0.0000 4.3431 4.3431 4.3431 0.0000" Properties=species:S:1:pos:R:3 pbc="T T T"
Y 1.0829 1.0829 1.0829
Y 3.2602 3.2602 1.0829
Y 3.2602 1.0829 3.2602
Y 1.0829 3.2602 3.2602
Te 4.3431 4.3431 4.3431
Pt 6.5146 6.5146 6.5146
```

---

(4)
## YTePt4 (PBE)

Data for crystalline YTePt4 at its relaxed geometry.

## Properties
uncorrected formation energy = -0.584 eV/atom
magnetic moment = 0.000 μB/cell
crystal system = cubic

Geometry as extended XYZ:
```
6
Lattice="0.0000 3.8519 3.8519 3.8519 0.0000 3.8519 3.8519 3.8519 0.0000" Properties=species:S:1:pos:R:3 pbc="T T T"
Y 0.0000 0.0000 0.0000
Te 1.9259 1.9259 1.9259
Pt 4.8174 2.8863 2.8863
Pt 2.8863 4.8174 2.8863
Pt 2.8863 2.8863 4.8174
Pt 4.8174 4.8174 4.8174
```

---

(5)
## YTe4Pt (PBE)

Data for crystalline YTe4Pt at its relaxed geometry.

## Properties
uncorrected formation energy = 0.288 eV/atom
magnetic moment = 0.000 μB/cell
crystal system = cubic

Geometry as extended XYZ:
```
6
Lattice="0.0000 4.3639 4.3639 4.3639 0.0000 4.3639 4.3639 4.3639 0.0000" Properties=species:S:1:pos:R:3 pbc="T T T"
Y 0.0000 0.0000 0.0000
Te 3.2825 3.2825 3.2825
Te 5.4452 5.4452 3.2825
Te 5.4452 3.2825 5.4452
Te 3.2825 5.4452 5.4452
Pt 6.5458 6.5458 6.5458
```

---

(6)
## Y3TePt (PBE)

Data for crystalline Y3TePt at its relaxed geometry.

## Properties
uncorrected formation energy = -1.046 eV/atom
offset from the most stable computed form = 0.0 meV/atom
magnetic moment = 0.000 μB/cell
crystal system = monoclinic

Geometry as extended XYZ:
```
10
Lattice="7.2071 0.0000 0.0000 0.0000 4.0818 0.0000 -0.7047 0.0000 9.5171" Properties=species:S:1:pos:R:3 pbc="T T T"
Y -0.0110 1.0204 1.5292
Y 1.9625 3.0613 3.9588
Y 2.8507 3.0613 7.9680
Y 3.6517 1.0204 1.5491
Y 4.5400 1.0204 5.5583
Y 6.5135 3.0613 7.9878
Te 1.0812 1.0204 6.1664
Te 5.4212 3.0613 3.3507
Pt 1.8057 3.0613 0.8604
Pt 4.6968 1.0204 8.6567
```

---

(7)
## YTe2Pt2 (PBE)

Data for crystalline YTe2Pt2 at its relaxed geometry.

## Properties
uncorrected formation energy = -0.464 eV/atom
offset from the most stable computed form = 0.0 meV/atom
magnetic moment = 0.000 μB/cell
crystal system = tetragonal

Geometry as extended XYZ:
```
5
Lattice="-1.9774 1.9774 7.2993 1.9774 -1.9774 7.2993 1.9774 1.9774 -7.2993" Properties=species:S:1:pos:R:3 pbc="T T T"
Y 0.0000 0.0000 0.0000
Te 0.0000 0.0000 5.6563
Te 0.0000 0.0000 8.9423
Pt 1.9774 0.0000 3.6496
Pt 0.0000 1.9774 3.6496
```

---

(8)
## YTe3Pt (PBE)

Data for crystalline YTe3Pt at its relaxed geometry.

## Properties
uncorrected formation energy = -0.249 eV/atom
offset from the most stable computed form = 0.0 meV/atom
magnetic moment = 0.000 μB/cell
crystal system = cubic

Geometry as extended XYZ:
```
5
Lattice="5.3086 0.0000 0.0000 0.0000 5.3086 0.0000 0.0000 0.0000 5.3086" Properties=species:S:1:pos:R:3 pbc="T T T"
Y 0.0000 0.0000 0.0000
Te 0.0000 2.6543 2.6543
Te 2.6543 0.0000 2.6543
Te 2.6543 2.6543 0.0000
Pt 2.6543 2.6543 2.6543
```

---

(9)
## Y4TePt (PBE)

Data for crystalline Y4TePt at its relaxed geometry.

## Properties
uncorrected formation energy = -0.920 eV/atom
offset from the most stable computed form = 0.0 meV/atom
magnetic moment = 0.000 μB/cell
crystal system = orthorhombic

Geometry as extended XYZ:
```
24
Lattice="8.3047 0.0000 0.0000 0.0000 3.9790 0.0000 0.0000 0.0000 19.5890" Properties=species:S:1:pos:R:3 pbc="T T T"
Y 0.0699 0.9948 1.3605
Y 0.3068 2.9843 4.2476
Y 1.1673 2.9843 8.7688
Y 1.1801 2.9843 12.7574
Y 2.9722 0.9948 2.9629
Y 2.9850 0.9948 18.5633
Y 3.8455 0.9948 14.0421
Y 4.0825 2.9843 11.1550
Y 4.2222 0.9948 8.4340
Y 4.4591 2.9843 5.5469
Y 5.3197 2.9843 1.0257
Y 5.3325 2.9843 16.6261
Y 7.1245 0.9948 6.8316
Y 7.1373 0.9948 10.8202
Y 7.9979 0.9948 15.3414
Y 8.2348 2.9843 18.2285
Te 1.9763 0.9948 6.1242
Te 2.1760 2.9843 15.9187
Te 6.1286 0.9948 3.6704
Te 6.3284 2.9843 13.4649
Pt 1.9580 0.9948 10.7481
Pt 2.1943 2.9843 0.9536
Pt 6.1104 0.9948 18.6354
Pt 6.3466 2.9843 8.8409
```

---

(10)
## YTe2Pt2 (PBE)

Data for crystalline YTe2Pt2 at its relaxed geometry.

## Properties
uncorrected formation energy = -0.422 eV/atom
offset from the most stable computed form = 42.1 meV/atom
magnetic moment = 0.000 μB/cell
crystal system = tetragonal

Geometry as extended XYZ:
```
5
Lattice="-2.2229 2.2229 6.0213 2.2229 -2.2229 6.0213 2.2229 2.2229 -6.0213" Properties=species:S:1:pos:R:3 pbc="T T T"
Y 0.0000 0.0000 0.0000
Te 2.2229 0.0000 3.0106
Te 0.0000 2.2229 3.0106
Pt 0.0000 0.0000 4.7194
Pt 0.0000 0.0000 7.3231
```

---

(11)
## Y4Te3Pt (PBE)

Data for crystalline Y4Te3Pt at its relaxed geometry.

## Properties
uncorrected formation energy = -1.311 eV/atom
magnetic moment = 0.000 μB/cell
crystal system = orthorhombic

Geometry as extended XYZ:
```
8
Lattice="4.4408 -6.1594 0.0000 4.4408 6.1594 0.0000 0.0000 0.0000 4.2134" Properties=species:S:1:pos:R:3 pbc="T T T"
Y 1.9005 0.0000 2.1067
Y 4.4408 3.2647 0.0000
Y 4.4408 -3.2647 0.0000
Y 6.9811 0.0000 2.1067
Te 2.2204 3.0797 2.1067
Te 2.2204 -3.0797 2.1067
Te 4.4408 0.0000 0.0000
Pt 0.0000 0.0000 0.0000
```

---

(12)
## Y6Te5Pt (PBE)

Data for crystalline Y6Te5Pt at its relaxed geometry.

## Properties
uncorrected formation energy = -1.358 eV/atom
magnetic moment = 0.000 μB/cell
crystal system = monoclinic

Geometry as extended XYZ:
```
12
Lattice="3.7934 -6.5435 0.0000 3.7934 6.5435 0.0000 -2.5108 0.0000 7.1128" Properties=species:S:1:pos:R:3 pbc="T T T"
Y -0.1230 1.9676 5.1608
Y 1.0117 0.0000 1.8753
Y -0.1230 -1.9676 5.1608
Y 5.1991 1.9676 1.9521
Y 4.0643 0.0000 5.2376
Y 5.1991 -1.9676 1.9521
Te 3.7934 4.1802 0.0000
Te 2.5380 2.1470 3.5564
Te 3.7934 0.0000 0.0000
Te 2.5380 -2.1470 3.5564
Te 3.7934 -4.1802 0.0000
Pt -1.2554 0.0000 3.5564
```